Compound: Li2FeSbN
Source: Alexandria
Functional: GGA-PBE
Structure: relaxed

Geometry as CIF:
```
data_Li2FeSbN
_chemical_formula_sum 'Li2 Fe1 Sb1 N1'
_space_group_name_H-M_alt 'P 4/m m m'
_space_group_IT_number 123
_space_group_name_Hall '-P 4 2'
_cell_length_a 4.1819
_cell_length_b 4.1819
_cell_length_c 3.6014
_cell_angle_alpha 90.00
_cell_angle_beta 90.00
_cell_angle_gamma 90.00
loop_
_atom_site_label
_atom_site_type_symbol
_atom_site_fract_x
_atom_site_fract_y
_atom_site_fract_z
Li1 Li 0.0000 0.5000 0.0000
Fe1 Fe 0.0000 0.0000 0.5000
Sb1 Sb 0.5000 0.5000 0.5000
N1 N 0.0000 0.0000 0.0000
```

Calculated values
size of the total moment: 0.30 μB/f.u.
formation energy (no corrections): -0.283 eV per atom
total DFT energy (no corrections): -26.2 eV per cell


Compound: CeHoGaPt
Source: Alexandria
Functional: GGA-PBE
Structure: relaxed

Geometry as CIF:
```
data_CeHoGaPt
_chemical_formula_sum 'Ce4 Ho4 Ga4 Pt4'
_space_group_name_H-M_alt 'F -4 3 m'
_space_group_IT_number 216
_space_group_name_Hall 'F -4 2 3'
_cell_length_a 7.1510
_cell_length_b 7.1510
_cell_length_c 7.1510
_cell_angle_alpha 90.00
_cell_angle_beta 90.00
_cell_angle_gamma 90.00
loop_
_atom_site_label
_atom_site_type_symbol
_atom_site_fract_x
_atom_site_fract_y
_atom_site_fract_z
Ce1 Ce 0.0000 0.0000 0.0000
Ho1 Ho 0.0000 0.0000 0.5000
Ga1 Ga 0.2500 0.2500 0.7500
Pt1 Pt 0.2500 0.2500 0.2500
```

Calculated values
size of the total moment: 0.53 μB/f.u.
total DFT energy (no corrections): -90.5 eV per cell
formation energy: -3.0 eV/f.u.
excess energy over the best structure of this formula in the dataset: 0.0838 eV per atom


Compound: CaAs2Pd7
Source: Alexandria
Functional: GGA-PBE
Structure: relaxed

Geometry as CIF:
```
data_CaAs2Pd7
_chemical_formula_sum 'Ca2 As4 Pd14'
_space_group_name_H-M_alt 'I 4/m m m'
_space_group_IT_number 139
_space_group_name_Hall '-I 4 2'
_cell_length_a 4.1068
_cell_length_b 4.1068
_cell_length_c 20.5547
_cell_angle_alpha 90.00
_cell_angle_beta 90.00
_cell_angle_gamma 90.00
loop_
_atom_site_label
_atom_site_type_symbol
_atom_site_fract_x
_atom_site_fract_y
_atom_site_fract_z
Ca1 Ca 0.0000 0.0000 0.0000
As1 As 0.0000 0.0000 0.3272
Pd1 Pd 0.0000 0.0000 0.5000
Pd2 Pd 0.0000 0.5000 0.1048
Pd3 Pd 0.0000 0.5000 0.2500
```

Calculated values
size of the total moment: 0.00 μB/f.u.
total DFT energy (no corrections): -104.7 eV per cell
formation energy: -4.7 eV/f.u.


Compound: YGa3Pd2
Source: Alexandria
Functional: GGA-PBE
Structure: relaxed

Geometry as CIF:
```
data_YGa3Pd2
_chemical_formula_sum 'Y4 Ga12 Pd8'
_space_group_name_H-M_alt 'C m c m'
_space_group_IT_number 63
_space_group_name_Hall '-C 2c 2'
_cell_length_a 9.4398
_cell_length_b 8.1242
_cell_length_c 5.6862
_cell_angle_alpha 90.00
_cell_angle_beta 90.00
_cell_angle_gamma 90.00
loop_
_atom_site_label
_atom_site_type_symbol
_atom_site_fract_x
_atom_site_fract_y
_atom_site_fract_z
Y1 Y 0.0000 0.1527 0.2500
Ga1 Ga 0.0000 0.4786 0.7500
Ga2 Ga 0.1532 0.2172 0.7500
Pd1 Pd 0.2275 0.5000 0.0000
```

Calculated values
size of the total moment: 0.00 μB/f.u.
total DFT energy (no corrections): -120.0 eV per cell
formation energy: -4.1 eV/f.u.


- total DFT energy (no corrections) of number 3 (CaAs2Pd7)?
  -104.7 eV per cell


- Number 1 is which compound?
  Li2FeSbN